# 1
The following is a PBE-GGA calculation of Tl4CdIn after structural relaxation, from the Alexandria database.

Structure (POSCAR):
```
Tl4CdIn
1.0
-0.7664 4.5958 1.5314
-9.2797 -4.2321 0.2031
0.5652 -2.2637 7.0765
Tl Cd In
8 2 2
direct
0.1911 0.3822 0.9754
0.8089 0.6178 0.0246
0.0273 0.0547 0.2549
0.4258 0.8516 0.1363
0.3540 0.7081 0.7211
0.5742 0.1484 0.8637
0.6460 0.2919 0.2789
0.9727 0.9453 0.7451
0.7299 0.4597 0.6545
0.2701 0.5403 0.3455
0.8668 0.7336 0.4230
0.1332 0.2664 0.5770
```

Calculated values
Energy   -12.8 eV/f.u.
Polymorph energy (0 for the lowest one)   21 meV per atom
Spin magnetization   0.00 μB per formula unit
Space group   C2/m, No. 12
ΔH_f (0 K)   55 meV/atom

=====

# 2
The following is a PBE-GGA calculation of SrMg2As after structural relaxation, from the Alexandria database.

Structure (POSCAR):
```
SrMg2As
1.0
-1.2071 -8.3806 -2.4322
8.5205 -1.6621 1.4985
3.0033 -5.7659 2.4228
Mg As Sr
4 2 2
direct
0.3750 0.4578 0.7500
0.5422 0.1250 0.2500
0.8750 0.7922 0.7500
0.2078 0.6250 0.2500
0.5000 0.5000 0.0000
0.2500 0.7500 0.5000
0.0000 0.0000 0.0000
0.7500 0.2500 0.5000
```

Calculated values
Energy   -10.8 eV/f.u.
Spin magnetization   0.00 μB per formula unit
Space group   I-42d, No. 122
ΔH_f (0 K)   -329 meV/atom

=====

# 3
The following is a PBE-GGA calculation of K2CuPt2 after structural relaxation, from the Alexandria database.

Structure (POSCAR):
```
K2CuPt2
1.0
4.9550 0.0000 1.8845
-0.6545 3.9318 1.7210
0.4454 -0.2799 6.2853
Cu K Pt
1 2 2
direct
0.0000 0.0000 0.0000
0.7036 0.2036 0.5928
0.2964 0.7964 0.4072
0.7454 0.5000 0.0000
0.2546 0.5000 0.0000
```

Calculated values
Energy   -18.8 eV/f.u.
Polymorph energy (0 for the lowest one)   0 meV per atom
Spin magnetization   0.00 μB per formula unit
Space group   Immm, No. 71
ΔH_f (0 K)   -85 meV/atom